Entry a
CuBRu3: optimized geometry, PBE-GGA.

```
5
Lattice="4.044 0.000 0.000 0.000 4.044 0.000 0.000 0.000 4.044" Properties=species:S:1:pos:R:3 pbc="T T T"
Cu 0.000 0.000 0.000
B 2.022 2.022 2.022
Ru 0.000 2.022 2.022
Ru 2.022 0.000 2.022
Ru 2.022 2.022 0.000
```

Calculated values
Space group: Pm-3m, No. 221
Fermi-level density of states, states/eV/atom: 1.139
Total magnetization, μB/atom: 0.31



Entry b
CuBRu3: optimized geometry, PBE-GGA.

```
5
Lattice="4.438 0.000 0.000 0.000 4.438 0.000 0.000 0.000 4.438" Properties=species:S:1:pos:R:3 pbc="T T T"
Cu 0.000 0.000 0.000
B 2.219 2.219 2.219
Ru 0.000 0.000 2.219
Ru 0.000 2.219 0.000
Ru 2.219 0.000 0.000
```

Calculated values
Space group: Pm-3m, No. 221
Fermi-level density of states, states/eV/atom: 1.296
Total magnetization, μB/atom: 0.94



Which structure wins on stability? entry a wins.



Entry a
Cu2BS: optimized geometry, PBE-GGA.

```
8
Lattice="-2.037 2.037 6.524 2.037 -2.037 6.524 2.037 2.037 -6.524" Properties=species:S:1:pos:R:3 pbc="T T T"
Cu 3.056 0.782 -1.631
Cu 0.782 1.019 1.631
Cu -1.019 1.255 4.893
Cu 1.255 1.019 8.155
B 0.000 0.000 0.000
B 0.000 2.037 3.262
S 2.037 0.000 3.262
S 0.000 0.000 6.524
```

Calculated values
Space group: I-42d, No. 122
Fermi-level density of states, states/eV/atom: 0.351
Total magnetization, μB/atom: 0.00



Entry b
Cu2BS: optimized geometry, PBE-GGA.

```
4
Lattice="0.000 2.903 2.903 2.903 0.000 2.903 2.903 2.903 0.000" Properties=species:S:1:pos:R:3 pbc="T T T"
Cu 1.451 1.451 1.451
Cu 4.354 4.354 4.354
B 0.000 0.000 0.000
S 2.903 2.903 2.903
```

Calculated values
Space group: Fm-3m, No. 225
Fermi-level density of states, states/eV/atom: 0.256
Total magnetization, μB/atom: 0.00



Which structure wins on stability? entry a wins.



Entry a
Cu2B2Sb: optimized geometry, PBE-GGA.

```
10
Lattice="5.849 0.000 0.000 0.000 5.849 0.000 0.000 0.000 3.743" Properties=species:S:1:pos:R:3 pbc="T T T"
Cu 0.856 2.069 0.000
Cu 2.069 4.993 0.000
Cu 3.780 0.856 0.000
Cu 4.993 3.780 0.000
B 0.574 3.499 1.872
B 2.350 0.574 1.872
B 3.499 5.275 1.872
B 5.275 2.350 1.872
Sb 0.000 0.000 1.872
Sb 2.925 2.925 1.872
```

Calculated values
Space group: P4/mbm, No. 127
Fermi-level density of states, states/eV/atom: 0.316
Total magnetization, μB/atom: 0.00



Entry b
Cu2B2Sb: optimized geometry, PBE-GGA.

```
5
Lattice="-1.840 1.840 4.486 1.840 -1.840 4.486 1.840 1.840 -4.486" Properties=species:S:1:pos:R:3 pbc="T T T"
Cu 1.840 0.000 2.243
Cu 0.000 1.840 2.243
B 0.000 0.000 0.843
B 0.000 0.000 8.129
Sb 0.000 0.000 4.486
```

Calculated values
Space group: I4/mmm, No. 139
Fermi-level density of states, states/eV/atom: 0.379
Total magnetization, μB/atom: 0.00



Which structure wins on stability? entry b wins.



Entry a
CuB3Sb: optimized geometry, PBE-GGA.

```
5
Lattice="4.043 0.000 0.000 0.000 4.043 0.000 0.000 0.000 4.043" Properties=species:S:1:pos:R:3 pbc="T T T"
Cu 0.000 0.000 0.000
B 0.000 0.000 2.022
B 0.000 2.022 0.000
B 2.022 0.000 0.000
Sb 2.022 2.022 2.022
```

Calculated values
Space group: Pm-3m, No. 221
Fermi-level density of states, states/eV/atom: 0.509
Total magnetization, μB/atom: 0.00



Entry b
CuB3Sb: optimized geometry, PBE-GGA.

```
5
Lattice="4.475 0.000 0.000 0.000 4.475 0.000 0.000 0.000 4.475" Properties=species:S:1:pos:R:3 pbc="T T T"
Cu 0.000 0.000 0.000
B 0.000 2.238 2.238
B 2.238 0.000 2.238
B 2.238 2.238 0.000
Sb 2.238 2.238 2.238
```

Calculated values
Space group: Pm-3m, No. 221
Fermi-level density of states, states/eV/atom: 0.482
Total magnetization, μB/atom: 0.00



Which structure wins on stability? entry a wins.



Entry a
Cu2BSb: optimized geometry, PBE-GGA.

```
4
Lattice="0.000 3.094 3.094 3.094 0.000 3.094 3.094 3.094 0.000" Properties=species:S:1:pos:R:3 pbc="T T T"
Cu 1.547 1.547 1.547
Cu 4.641 4.641 4.641
B 0.000 0.000 0.000
Sb 3.094 3.094 3.094
```

Calculated values
Space group: Fm-3m, No. 225
Fermi-level density of states, states/eV/atom: 0.189
Total magnetization, μB/atom: 0.00



Entry b
Cu2BSb: optimized geometry, PBE-GGA.

```
8
Lattice="-2.177 2.177 6.758 2.177 -2.177 6.758 2.177 2.177 -6.758" Properties=species:S:1:pos:R:3 pbc="T T T"
Cu 0.475 1.089 1.690
Cu -1.089 1.702 5.069
Cu -0.475 3.266 1.690
Cu 1.089 2.653 5.069
B 0.000 0.000 0.000
B 0.000 2.177 3.379
Sb 2.177 0.000 3.379
Sb 0.000 0.000 6.758
```

Calculated values
Space group: I-42d, No. 122
Fermi-level density of states, states/eV/atom: 0.454
Total magnetization, μB/atom: 0.00



Which structure wins on stability? entry b wins.



Entry a
Cu3BSb: optimized geometry, PBE-GGA.

```
5
Lattice="4.124 0.000 0.000 0.000 4.124 0.000 0.000 0.000 4.124" Properties=species:S:1:pos:R:3 pbc="T T T"
Cu 0.000 0.000 2.062
Cu 0.000 2.062 0.000
Cu 2.062 0.000 0.000
B 0.000 0.000 0.000
Sb 2.062 2.062 2.062
```

Calculated values
Space group: Pm-3m, No. 221
Fermi-level density of states, states/eV/atom: 0.299
Total magnetization, μB/atom: 0.00



Entry b
Cu3BSb: optimized geometry, PBE-GGA.

```
5
Lattice="4.827 0.000 0.000 0.000 4.827 0.000 0.000 0.000 4.827" Properties=species:S:1:pos:R:3 pbc="T T T"
Cu 0.000 0.000 2.413
Cu 0.000 2.413 0.000
Cu 2.413 0.000 0.000
B 2.413 2.413 2.413
Sb 0.000 0.000 0.000
```

Calculated values
Space group: Pm-3m, No. 221
Fermi-level density of states, states/eV/atom: 0.807
Total magnetization, μB/atom: 0.00



Which structure wins on stability? entry a wins.



Entry a
CuBSb2Te: optimized geometry, PBE-GGA.

```
5
Lattice="4.812 0.000 0.000 0.000 4.812 0.000 0.000 0.000 4.810" Properties=species:S:1:pos:R:3 pbc="T T T"
Cu 0.000 0.000 0.000
B 2.406 2.406 2.405
Sb 0.000 2.406 2.405
Sb 2.406 0.000 2.405
Te 2.406 2.406 0.000
```

Calculated values
Space group: P4/mmm, No. 123
Fermi-level density of states, states/eV/atom: 0.675
Total magnetization, μB/atom: 0.00



Entry b
CuBSb2Te: optimized geometry, PBE-GGA.

```
5
Lattice="5.032 0.000 0.000 0.000 5.032 0.000 0.000 0.000 5.217" Properties=species:S:1:pos:R:3 pbc="T T T"
Cu 0.000 0.000 0.000
B 2.516 2.516 2.609
Sb 0.000 2.516 0.000
Sb 2.516 0.000 0.000
Te 0.000 0.000 2.609
```

Calculated values
Space group: P4/mmm, No. 123
Fermi-level density of states, states/eV/atom: 0.666
Total magnetization, μB/atom: 0.00



Which structure wins on stability? entry a wins.



Entry a
Y2CuBSb: optimized geometry, PBE-GGA.

```
5
Lattice="5.224 0.000 0.000 0.000 5.224 0.000 0.000 0.000 4.641" Properties=species:S:1:pos:R:3 pbc="T T T"
Y 0.000 2.612 0.000
Y 2.612 0.000 0.000
Cu 0.000 0.000 0.000
B 2.612 2.612 2.320
Sb 0.000 0.000 2.320
```

Calculated values
Space group: P4/mmm, No. 123
Fermi-level density of states, states/eV/atom: 0.785
Total magnetization, μB/atom: 0.00



Entry b
Y2CuBSb: optimized geometry, PBE-GGA.

```
5
Lattice="5.021 0.000 0.000 0.000 5.021 0.000 0.000 0.000 4.437" Properties=species:S:1:pos:R:3 pbc="T T T"
Y 0.000 2.511 0.000
Y 2.511 0.000 0.000
Cu 0.000 0.000 2.218
B 2.511 2.511 0.000
Sb 2.511 2.511 2.218
```

Calculated values
Space group: P4/mmm, No. 123
Fermi-level density of states, states/eV/atom: 0.721
Total magnetization, μB/atom: 0.00



Which structure wins on stability? entry b wins.